[1]
A plane-wave DFT calculation with PBE was carried out for a geometry-optimized InOs structure.

The structure in POSCAR format:
```
InOs
1.0
3.018 0.000 0.000
-1.509 2.614 0.000
0.000 0.000 4.389
In Os
1 1
Cartesian
0.000 0.000 0.000
1.509 0.871 2.195
```

E_tot: -6.40 eV per atom
symmetry: No. 187

[2]
A plane-wave DFT calculation with PBE was carried out for a geometry-optimized PaInOs structure.

The structure in POSCAR format:
```
PaInOs
1.0
0.000 3.380 3.380
3.380 0.000 3.380
3.380 3.380 0.000
Pa In Os
1 1 1
Cartesian
0.000 0.000 0.000
5.070 5.070 5.070
1.690 1.690 1.690
```

E_tot: -7.03 eV per atom
symmetry: No. 216

[3]
A plane-wave DFT calculation with PBE was carried out for a geometry-optimized PaInOs structure.

The structure in POSCAR format:
```
PaInOs
1.0
0.000 3.307 3.307
3.307 0.000 3.307
3.307 3.307 0.000
Pa In Os
1 1 1
Cartesian
0.000 0.000 0.000
3.307 3.307 3.307
4.961 4.961 4.961
```

E_tot: -7.83 eV per atom
symmetry: No. 216

[4]
A plane-wave DFT calculation with PBE was carried out for a geometry-optimized InOsPb2 structure.

The structure in POSCAR format:
```
InOsPb2
1.0
0.000 3.576 3.576
3.576 0.000 3.576
3.576 3.576 0.000
In Os Pb
1 1 2
Cartesian
0.000 0.000 0.000
1.788 1.788 1.788
3.576 3.576 3.576
5.364 5.364 5.364
```

E_tot: -4.53 eV per atom
symmetry: No. 216

[5]
A plane-wave DFT calculation with PBE was carried out for a geometry-optimized InOs2Pd structure.

The structure in POSCAR format:
```
InOs2Pd
1.0
0.000 3.176 3.176
3.176 0.000 3.176
3.176 3.176 0.000
In Os Pd
1 2 1
Cartesian
0.000 0.000 0.000
3.176 3.176 3.176
4.765 4.765 4.765
1.588 1.588 1.588
```

E_tot: -7.09 eV per atom
symmetry: No. 216

[6]
A plane-wave DFT calculation with PBE was carried out for a geometry-optimized In8Os2Pd structure.

The structure in POSCAR format:
```
In8Os2Pd
1.0
4.551 0.000 0.000
0.000 4.551 0.000
0.000 0.000 11.183
In Os Pd
8 2 1
Cartesian
0.000 0.000 2.003
0.000 0.000 9.180
0.000 2.275 0.000
0.000 2.275 3.993
0.000 2.275 7.190
2.275 0.000 0.000
2.275 0.000 3.993
2.275 0.000 7.190
2.275 2.275 2.290
2.275 2.275 8.893
2.275 2.275 5.591
```

E_tot: -4.17 eV per atom
symmetry: No. 123

[7]
A plane-wave DFT calculation with PBE was carried out for a geometry-optimized InOs2Pd4 structure.

The structure in POSCAR format:
```
InOs2Pd4
1.0
3.933 -3.361 0.000
3.933 3.361 0.000
-0.969 0.000 4.517
In Os Pd
1 2 4
Cartesian
0.000 0.000 0.000
2.200 0.000 3.621
4.697 0.000 0.895
2.385 1.381 1.323
4.512 1.381 3.194
2.385 -1.381 1.323
4.512 -1.381 3.194
```

E_tot: -6.33 eV per atom
symmetry: No. 12

[8]
A plane-wave DFT calculation with PBE was carried out for a geometry-optimized PmInOs structure.

The structure in POSCAR format:
```
PmInOs
1.0
0.000 3.419 3.419
3.419 0.000 3.419
3.419 3.419 0.000
Pm In Os
1 1 1
Cartesian
0.000 0.000 0.000
5.129 5.129 5.129
1.710 1.710 1.710
```

E_tot: -5.36 eV per atom
symmetry: No. 216

[9]
A plane-wave DFT calculation with PBE was carried out for a geometry-optimized PrInOs structure.

The structure in POSCAR format:
```
PrInOs
1.0
0.000 3.461 3.461
3.461 0.000 3.461
3.461 3.461 0.000
Pr In Os
1 1 1
Cartesian
0.000 0.000 0.000
5.191 5.191 5.191
1.730 1.730 1.730
```

E_tot: -5.30 eV per atom
symmetry: No. 216

[10]
A plane-wave DFT calculation with PBE was carried out for a geometry-optimized PuInOs structure.

The structure in POSCAR format:
```
PuInOs
1.0
0.000 3.289 3.289
3.289 0.000 3.289
3.289 3.289 0.000
Pu In Os
1 1 1
Cartesian
0.000 0.000 0.000
3.289 3.289 3.289
4.934 4.934 4.934
```

E_tot: -9.24 eV per atom
symmetry: No. 216

[11]
A plane-wave DFT calculation with PBE was carried out for a geometry-optimized RbInOs structure.

The structure in POSCAR format:
```
RbInOs
1.0
0.000 3.765 3.765
3.765 0.000 3.765
3.765 3.765 0.000
Rb In Os
1 1 1
Cartesian
0.000 0.000 0.000
5.647 5.647 5.647
1.882 1.882 1.882
```

energy relative to the lowest polymorph listed for this composition: 780 meV per atom
symmetry: No. 216

[12]
A plane-wave DFT calculation with PBE was carried out for a geometry-optimized RbInOs structure.

The structure in POSCAR format:
```
RbInOs
1.0
0.000 3.427 3.427
3.427 0.000 3.427
3.427 3.427 0.000
Rb In Os
1 1 1
Cartesian
0.000 0.000 0.000
3.427 3.427 3.427
5.140 5.140 5.140
```

energy relative to the lowest polymorph listed for this composition: 0 meV per atom
symmetry: No. 216

[13]
A plane-wave DFT calculation with PBE was carried out for a geometry-optimized InOs3S5 structure.

The structure in POSCAR format:
```
InOs3S5
1.0
5.675 0.000 0.000
-2.837 4.915 0.000
0.000 0.000 6.722
In Os S
1 3 5
Cartesian
0.000 0.000 0.000
-1.419 2.457 3.361
2.837 0.000 3.361
1.419 2.457 3.361
0.000 0.000 3.361
0.000 3.276 1.683
0.000 3.276 5.039
2.837 1.638 1.683
2.837 1.638 5.039
```

E_tot: -6.19 eV per atom
symmetry: No. 191

[14]
A plane-wave DFT calculation with PBE was carried out for a geometry-optimized In8Os2S structure.

The structure in POSCAR format:
```
In8Os2S
1.0
10.178 0.000 0.000
0.000 10.178 0.000
0.000 0.000 10.024
In Os S
32 8 4
Cartesian
0.000 0.000 1.754
0.000 0.000 8.270
0.538 3.061 3.002
0.538 3.061 7.022
0.987 9.191 5.012
1.884 8.295 0.000
2.028 5.627 2.010
2.028 5.627 8.015
2.042 2.042 0.000
3.047 7.131 5.012
3.061 0.538 3.002
3.061 0.538 7.022
3.205 3.205 5.012
4.102 4.102 0.000
4.552 8.150 2.010
4.552 8.150 8.015
5.089 5.089 3.258
5.089 5.089 6.767
5.627 2.028 2.010
5.627 2.028 8.015
6.076 6.076 0.000
6.973 6.973 5.012
7.118 9.641 3.002
7.118 9.641 7.022
7.131 3.047 5.012
8.137 8.137 0.000
8.150 4.552 2.010
8.150 4.552 8.015
8.295 1.884 0.000
9.191 0.987 5.012
9.641 7.118 3.002
9.641 7.118 7.022
1.910 8.269 2.653
1.910 8.269 7.372
3.179 3.179 2.359
3.179 3.179 7.665
6.999 6.999 2.359
6.999 6.999 7.665
8.269 1.910 2.653
8.269 1.910 7.372
0.000 5.089 0.000
0.000 5.089 5.012
5.089 0.000 0.000
5.089 0.000 5.012
```

E_tot: -4.39 eV per atom
symmetry: No. 136

[15]
A plane-wave DFT calculation with PBE was carried out for a geometry-optimized In10OsS10 structure.

The structure in POSCAR format:
```
In10OsS10
1.0
11.880 0.000 0.000
0.000 11.941 0.000
0.000 0.000 7.928
In Os S
20 2 20
Cartesian
0.000 0.000 1.576
0.000 0.000 6.353
0.528 3.407 0.000
1.267 3.213 3.964
1.624 6.529 2.005
1.624 6.529 5.923
4.317 0.559 2.005
4.317 0.559 5.923
4.673 9.183 3.964
5.412 9.377 0.000
5.940 5.970 1.576
5.940 5.970 6.353
6.468 2.564 0.000
7.207 2.757 3.964
7.564 11.382 2.005
7.564 11.382 5.923
10.257 5.412 2.005
10.257 5.412 5.923
10.613 8.728 3.964
11.352 8.534 0.000
0.000 5.970 0.000
5.940 0.000 0.000
1.137 8.280 3.964
1.333 10.461 0.000
1.740 1.774 1.951
1.740 1.774 5.978
2.753 5.157 3.964
3.187 11.127 3.964
4.200 7.744 1.951
4.200 7.744 5.978
4.607 4.491 0.000
4.803 2.309 3.964
7.078 9.631 3.964
7.273 7.450 0.000
7.680 4.196 1.951
7.680 4.196 5.978
8.694 0.813 3.964
9.127 6.784 3.964
10.140 10.167 1.951
10.140 10.167 5.978
10.547 1.480 0.000
10.743 3.661 3.964
```

E_tot: -4.21 eV per atom
symmetry: No. 55

[16]
A plane-wave DFT calculation with PBE was carried out for a geometry-optimized Sr2InOsS6 structure.

The structure in POSCAR format:
```
Sr2InOsS6
1.0
6.470 0.000 0.000
2.729 6.012 0.000
2.760 1.822 5.817
Sr In Os S
2 1 1 6
Cartesian
2.905 1.932 1.379
9.055 5.903 4.438
5.980 3.917 2.909
0.000 0.000 0.000
3.931 5.275 1.924
5.697 5.615 4.948
4.747 2.336 4.613
7.213 5.498 1.204
6.262 2.220 0.869
8.029 2.559 3.893
```

E_tot: -5.04 eV per atom
symmetry: No. 2

[17]
A plane-wave DFT calculation with PBE was carried out for a geometry-optimized InSbOs structure.

The structure in POSCAR format:
```
InSbOs
1.0
0.000 3.206 3.206
3.206 0.000 3.206
3.206 3.206 0.000
In Sb Os
1 1 1
Cartesian
0.000 0.000 0.000
3.206 3.206 3.206
1.603 1.603 1.603
```

energy relative to the lowest polymorph listed for this composition: 0 meV per atom
symmetry: No. 216

[18]
A plane-wave DFT calculation with PBE was carried out for a geometry-optimized InSb5Os3 structure.

The structure in POSCAR format:
```
InSb5Os3
1.0
5.664 0.000 0.000
-2.832 4.905 0.000
0.000 0.000 7.994
In Sb Os
1 5 3
Cartesian
0.000 0.000 0.000
0.000 0.000 3.997
0.000 3.270 1.812
0.000 3.270 6.182
2.832 1.635 1.812
2.832 1.635 6.182
-1.416 2.452 3.997
2.832 0.000 3.997
1.416 2.452 3.997
```

E_tot: -5.95 eV per atom
symmetry: No. 191

[19]
A plane-wave DFT calculation with PBE was carried out for a geometry-optimized In4Sb2Os structure.

The structure in POSCAR format:
```
In4Sb2Os
1.0
-3.503 3.503 3.769
3.503 -3.503 3.769
3.503 3.503 -3.769
In Sb Os
4 2 1
Cartesian
1.565 1.565 0.000
1.938 -1.938 3.769
-1.938 1.938 3.769
1.938 1.938 3.769
3.503 0.000 1.884
0.000 3.503 1.884
0.000 0.000 3.769
```

E_tot: -3.63 eV per atom
symmetry: No. 139

[20]
A plane-wave DFT calculation with PBE was carried out for a geometry-optimized ScInOs structure.

The structure in POSCAR format:
```
ScInOs
1.0
0.000 3.193 3.193
3.193 0.000 3.193
3.193 3.193 0.000
Sc In Os
1 1 1
Cartesian
0.000 0.000 0.000
4.790 4.790 4.790
1.597 1.597 1.597
```

E_tot: -6.23 eV per atom
symmetry: No. 216

[21]
A plane-wave DFT calculation with PBE was carried out for a geometry-optimized InOs3Se5 structure.

The structure in POSCAR format:
```
InOs3Se5
1.0
5.776 0.000 0.000
-2.888 5.003 0.000
0.000 0.000 7.165
In Os Se
1 3 5
Cartesian
0.000 0.000 0.000
-1.444 2.501 3.582
2.888 0.000 3.582
1.444 2.501 3.582
0.000 0.000 3.582
0.000 3.335 1.752
0.000 3.335 5.413
2.888 1.668 1.752
2.888 1.668 5.413
```

E_tot: -5.78 eV per atom
symmetry: No. 191

[22]
A plane-wave DFT calculation with PBE was carried out for a geometry-optimized In8Os2Se structure.

The structure in POSCAR format:
```
In8Os2Se
1.0
10.238 0.000 0.000
0.000 10.238 0.000
0.000 0.000 10.105
In Os Se
32 8 4
Cartesian
0.000 0.000 1.698
0.000 0.000 8.407
0.563 3.027 2.907
0.563 3.027 7.198
1.015 9.223 5.053
1.914 8.324 0.000
2.051 2.051 0.000
2.092 5.682 2.145
2.092 5.682 7.960
3.027 0.563 2.907
3.027 0.563 7.198
3.068 7.170 5.053
3.205 3.205 5.053
4.104 4.104 0.000
4.556 8.146 2.145
4.556 8.146 7.960
5.119 5.119 3.354
5.119 5.119 6.751
5.682 2.092 2.145
5.682 2.092 7.960
6.134 6.134 0.000
7.033 7.033 5.053
7.170 3.068 5.053
7.211 9.675 2.907
7.211 9.675 7.198
8.146 4.556 2.145
8.146 4.556 7.960
8.187 8.187 0.000
8.324 1.914 0.000
9.223 1.015 5.053
9.675 7.211 2.907
9.675 7.211 7.198
1.895 8.343 2.669
1.895 8.343 7.437
3.224 3.224 2.384
3.224 3.224 7.721
7.014 7.014 2.384
7.014 7.014 7.721
8.343 1.895 2.669
8.343 1.895 7.437
0.000 5.119 0.000
0.000 5.119 5.053
5.119 0.000 0.000
5.119 0.000 5.053
```

E_tot: -4.34 eV per atom
symmetry: No. 136

Number 1: mass density 14.63 g/cm3. Number 2: mass density 11.53 g/cm3. Number 3: mass density 12.31 g/cm3. Number 4: mass density 13.06 g/cm3. Number 5: mass density 15.59 g/cm3. Number 6: mass density 10.08 g/cm3. Number 7: mass density 12.81 g/cm3. Number 8: mass density 9.35 g/cm3. Number 9: mass density 8.93 g/cm3. Number 10: mass density 12.81 g/cm3. Number 11: mass density 6.08 g/cm3. Number 12: mass density 8.06 g/cm3. Number 13: mass density 7.49 g/cm3. Number 14: mass density 8.51 g/cm3. Number 15: mass density 4.90 g/cm3. Number 16: mass density 4.94 g/cm3. Number 17: mass density 10.75 g/cm3. Number 18: mass density 9.68 g/cm3. Number 19: mass density 8.02 g/cm3. Number 20: mass density 8.92 g/cm3. Number 21: mass density 8.66 g/cm3. Number 22: mass density 8.64 g/cm3.